1.
PBE TbCoNiSn3, optimized geometry; energy = -5.005 eV/atom; mass density = 7.947 g/cm3; energy of formation from the pure elements = -0.51 eV per formula unit; SG = Cmcm, No. 63
1.0
7.1193 0.0000 0.0000
0.0000 6.5477 0.0000
0.0000 -3.2739 5.6723
Sn Co Tb Ni
6 2 2 2
Cartesian
3.5596 1.7371 0.0000
0.0000 1.7371 0.0000
1.7798 0.0000 2.2779
5.3395 3.2738 3.3944
3.5596 4.8106 0.0000
0.0000 4.8106 0.0000
5.3395 3.2739 0.9594
1.7798 0.0000 4.7129
1.7798 3.2739 2.6808
5.3395 0.0000 2.9915
5.3395 0.0000 0.3155
1.7798 3.2739 5.3568

***

2.
PBE LaSmErSc, optimized geometry; energy = -5.046 eV/atom; mass density = 6.596 g/cm3; energy of formation from the pure elements = 0.36 eV per formula unit; SG = F-43m, No. 216
1.0
-0.6543 -3.2927 4.5209
4.5065 -1.7277 2.9008
0.9927 2.0555 5.1476
Sm Sc La Er
1 1 1 1
Cartesian
1.2112 -0.7412 3.1423
0.0000 0.0000 0.0000
3.6337 -2.2236 9.4269
2.4225 -1.4824 6.2846

***

3.
PBE SmCdAu, optimized geometry; energy = -3.500 eV/atom; mass density = 10.388 g/cm3; energy of formation from the pure elements = -1.59 eV per formula unit; SG = P2_1/m, No. 11
1.0
4.6100 0.0000 -0.0584
0.0000 5.1507 0.0000
-2.2285 0.0000 6.2181
Sm Cd Au
2 2 2
Cartesian
2.3749 1.2877 4.7948
0.0066 3.8630 1.3649
2.3219 1.2877 1.0523
0.0595 3.8630 5.1074
0.0457 1.2877 2.8883
2.3358 3.8630 3.2713

***

4.
PBE LiLa2, optimized geometry; energy = -3.864 eV/atom; mass density = 5.030 g/cm3; ΔE to the lowest computed polymorph = 0.0000 eV per atom; energy of formation from the pure elements = 0.18 eV per formula unit; SG = C2/m, No. 12
1.0
-0.5381 6.4038 1.0103
-2.5929 4.7549 3.6037
5.6876 2.5186 6.1076
Li La
2 4
Cartesian
-1.4494 8.3535 4.1628
0.3564 4.4046 3.0828
2.4025 1.0826 2.5918
3.3966 6.0785 6.5558
5.3230 3.0355 6.1473
1.1979 9.1982 6.7973

***

5.
PBE ZnBiSbF2, optimized geometry; energy = -3.635 eV/atom; mass density = 5.881 g/cm3; formation energy from raw total energies = -1031 meV per atom; SG = P4/mmm, No. 123
1.0
4.3424 0.0000 0.0000
0.0000 6.5005 0.0000
0.0000 0.0000 4.3424
F Zn Bi Sb
2 1 1 1
Cartesian
0.0000 0.0000 2.1712
2.1712 0.0000 0.0000
2.1712 3.2503 2.1712
0.0000 3.2503 0.0000
0.0000 0.0000 0.0000

***

6.
PBE Tl3CoRh2Se6, optimized geometry; energy = -4.484 eV/atom; mass density = 8.260 g/cm3; formation energy from raw total energies = -333 meV per atom; SG = C2/m, No. 12
1.0
-6.0273 -0.6051 2.5243
5.2295 -1.7751 3.5452
0.7209 7.5358 0.6873
Tl Se Rh Co
3 6 2 1
Cartesian
-3.7368 2.9621 3.0430
3.6599 2.1934 3.7138
-0.0385 2.5778 3.3784
-0.4642 -0.4765 4.5723
-1.8641 0.9211 1.2612
1.7579 0.5446 1.5897
1.7872 4.2345 5.4956
0.3872 5.6320 2.1845
-1.8349 4.6109 5.1671
-2.2773 -0.9949 2.8644
1.4795 -1.3853 3.2051
0.0000 0.0000 0.0000